A relaxed Mg5Cd2SnRh2 crystal, computed with GGA-PBE.

a b c (Å): 4.1505 9.8665 9.8665
angles (deg): 90.00 90.00 90.00
Fractional positions:
Mg 0.5000 0.7891 0.9178
Rh 0.0000 0.3792 0.1208
Sn 0.0000 0.5000 0.5000
Mg 0.5000 0.9178 0.2109
Cd 0.0000 0.8292 0.6708
Mg 0.5000 0.0822 0.7891
Mg 0.5000 0.0000 0.5000
Mg 0.5000 0.2891 0.5822
Rh 0.0000 0.6208 0.8792
Mg 0.5000 0.5822 0.7109
Mg 0.5000 0.7109 0.4178
Rh 0.0000 0.8792 0.3792
Mg 0.5000 0.2109 0.0822
Sn 0.0000 0.0000 0.0000
Mg 0.5000 0.4178 0.2891
Cd 0.0000 0.1708 0.3292
Mg 0.5000 0.5000 0.0000
Rh 0.0000 0.1208 0.6208
Cd 0.0000 0.6708 0.1708
Cd 0.0000 0.3292 0.8292

Values from the calculation:
N(E_F)   9.6 states/eV/cell
Formation energy   -0.231 eV/atom
Magnetization   0.00 μB/cell

---

A relaxed MgAlAsBr2 crystal, computed with GGA-PBE.

a b c (Å): 5.3297 5.3297 5.3117
angles (deg): 90.00 90.00 90.00
Each line ends with the local moment (μB).
Fractional positions:
As 0.0000 0.0000 0.5000  0.67
Br 0.0000 0.5000 0.0000  0.08
Mg 0.0000 0.0000 0.0000  -0.01
Al 0.5000 0.5000 0.5000  0.03
Br 0.5000 0.0000 0.0000  0.08

Values from the calculation:
N(E_F)   1.9 states/eV/cell
Formation energy (no corrections)   -0.095 eV/atom
Magnetization   1.87 μB/cell

---

A relaxed Ac2PrHoSe6 crystal, computed with GGA-PBE.

a b c (Å): 7.6454 7.6455 7.9437
angles (deg): 61.24 61.24 60.01
Fractional positions:
Ac 0.0261 0.0261 0.9217
Se 0.6092 0.1858 0.2643
Se 0.1857 0.9407 0.2643
Se 0.6935 0.0952 0.7573
Pr 0.3152 0.3151 0.0546
Ac 0.5243 0.5243 0.4270
Se 0.0951 0.4542 0.7574
Se 0.9408 0.6091 0.2644
Ho 0.8176 0.8178 0.5469
Se 0.4540 0.6934 0.7573

Values from the calculation:
N(E_F)   0.0 states/eV/cell
Formation energy (no corrections)   -1.912 eV/atom
Magnetization   0.00 μB/cell

---

A relaxed La2Ga4Cu3Hg crystal, computed with GGA-PBE.

a b c (Å): 4.3662 4.3662 10.3680
angles (deg): 90.00 90.00 90.00
Fractional positions:
Cu 0.0000 0.0000 0.5000
Ga 0.0000 0.5000 0.3516
La 0.5000 0.0000 0.2427
Ga 0.5000 0.0000 0.6484
Hg 0.5000 0.5000 0.5000
La 0.0000 0.5000 0.7573
Cu 0.5000 0.0000 0.8810
Cu 0.0000 0.5000 0.1190
Ga 0.5000 0.5000 0.0000
Ga 0.0000 0.0000 0.0000

Values from the calculation:
N(E_F)   5.9 states/eV/cell
Formation energy   -0.433 eV/atom
Magnetization   0.00 μB/cell

---

A relaxed TeAsIr2 crystal, computed with GGA-PBE.

a b c (Å): 5.2606 5.2606 5.2606
angles (deg): 136.10 136.10 63.82
Fractional positions:
Ir 0.2500 0.7500 0.5000
As 0.7500 0.2500 0.5000
Ir 0.0000 0.0000 0.0000
Te 0.5000 0.5000 0.0000

Values from the calculation:
N(E_F)   2.3 states/eV/cell
Formation energy (no corrections)   0.488 eV/atom
Magnetization   0.00 μB/cell

---

A relaxed ZrTa2OsSe crystal, computed with GGA-PBE.

a b c (Å): 4.8438 5.1300 4.8438
angles (deg): 90.00 90.00 90.00
Fractional positions:
Zr 0.0000 0.5000 0.0000
Os 0.0000 0.0000 0.0000
Ta 0.5000 0.0000 0.0000
Se 0.5000 0.5000 0.5000
Ta 0.0000 0.0000 0.5000

Values from the calculation:
N(E_F)   6.0 states/eV/cell
Formation energy (no corrections)   0.806 eV/atom
Magnetization   0.00 μB/cell

---

A relaxed CeInBr5 crystal, computed with GGA-PBE.

a b c (Å): 7.8183 7.8183 11.1460
angles (deg): 69.73 69.73 70.44
Fractional positions:
Br 0.2282 0.6440 0.9827
Br 0.8550 0.6899 0.6315
Ce 0.0000 0.0000 0.5000
Br 0.6899 0.8550 0.1315
Br 0.3560 0.7718 0.5173
Br 0.3101 0.1450 0.8685
Br 0.0927 0.9073 0.2500
Br 0.1450 0.3101 0.3685
In 0.4776 0.5224 0.2500
Br 0.9073 0.0927 0.7500
Br 0.6440 0.2282 0.4827
In 0.5224 0.4776 0.7500
Ce 0.0000 0.0000 0.0000
Br 0.7718 0.3560 0.0173

Values from the calculation:
Formation energy (no corrections)   -1.301 eV/atom
Magnetization   0.00 μB/cell

---

A relaxed CaTaOs2 crystal, computed with GGA-PBE.

a b c (Å): 4.7833 4.7833 5.7518
angles (deg): 76.80 76.80 37.22
Fractional positions:
Os 0.4803 0.4803 0.5669
Os 0.0197 0.0197 0.9331
Ca 0.2500 0.2500 0.2500
Ta 0.7500 0.7500 0.7500

Values from the calculation:
N(E_F)   2.1 states/eV/cell
Formation energy   0.355 eV/atom
Magnetization   0.00 μB/cell

---

A relaxed Li2PuSn2O6 crystal, computed with GGA-PBE.

a b c (Å): 6.0275 6.0275 6.3640
angles (deg): 61.73 61.73 60.00
Each line ends with the local moment (μB).
Fractional positions:
Pu 0.0000 0.0000 0.0000  2.51
O 0.2367 0.7880 0.7386  -0.08
Sn 0.8098 0.8098 0.5706  0.01
Li 0.5889 0.5889 0.2334  0.00
O 0.7880 0.2367 0.7386  -0.08
O 0.7633 0.7633 0.2614  -0.08
O 0.7633 0.2120 0.2614  -0.08
O 0.2367 0.2367 0.7386  -0.08
Sn 0.1902 0.1902 0.4294  0.01
O 0.2120 0.7633 0.2614  -0.08
Li 0.4111 0.4111 0.7666  0.00

Values from the calculation:
N(E_F)   5.8 states/eV/cell
Formation energy (no corrections)   -1.789 eV/atom
Magnetization   2.00 μB/cell

---

A relaxed Al4Cr crystal, computed with GGA-PBE.

a b c (Å): 5.1402 5.2526 5.1402
angles (deg): 119.29 90.00 119.29
Each line ends with the local moment (μB).
Fractional positions:
Al 0.3392 0.6785 0.3392  -0.03
Cr 0.0000 0.0000 0.0000  3.53
Al 0.7500 0.5000 0.2500  -0.02
Al 0.6608 0.3215 0.6608  -0.03
Al 0.2500 0.5000 0.7500  -0.02

Values from the calculation:
N(E_F)   2.8 states/eV/cell
Formation energy   0.593 eV/atom
Magnetization   3.67 μB/cell

---

A relaxed TiTePb2O6 crystal, computed with GGA-PBE.

a b c (Å): 5.8174 5.8174 11.4803
angles (deg): 75.32 75.32 60.00
Fractional positions:
Ti 0.5000 0.5000 0.5000
Pb 0.7534 0.7534 0.7398
Pb 0.8554 0.8554 0.4337
O 0.8041 0.2894 0.1024
O 0.2894 0.8041 0.1024
O 0.6313 0.1370 0.6004
O 0.7106 0.1959 0.8976
Te 0.6076 0.6076 0.1771
O 0.3687 0.3687 0.3996
Pb 0.1446 0.1446 0.5663
O 0.1959 0.7106 0.8976
Pb 0.2466 0.2466 0.2602
O 0.8630 0.3687 0.3996
O 0.1959 0.1959 0.8976
O 0.6313 0.6313 0.6004
O 0.3687 0.8630 0.3996
Ti 0.0000 0.0000 0.0000
O 0.8041 0.8041 0.1024
O 0.1370 0.6313 0.6004
Te 0.3924 0.3924 0.8229

Values from the calculation:
N(E_F)   0.0 states/eV/cell
Formation energy (no corrections)   -1.563 eV/atom
Magnetization   0.00 μB/cell

---

A relaxed La8Dy3Er2 crystal, computed with GGA-PBE.

a b c (Å): 5.8445 7.7570 10.9558
angles (deg): 110.73 90.03 90.00
Fractional positions:
La 0.4997 0.1941 0.7884
Er 0.4985 0.2395 0.4790
La 0.9992 0.1309 0.2617
La 0.4997 0.5943 0.7884
La 0.0013 0.6756 0.3511
Dy 0.0000 0.7166 0.0000
La 0.0008 0.8691 0.7383
Dy 0.0000 0.2834 0.0000
Er 0.5015 0.7605 0.5210
Dy 0.5000 0.0000 0.0000
La 0.9987 0.3244 0.6489
La 0.5003 0.4057 0.2116
La 0.5003 0.8059 0.2116

Values from the calculation:
N(E_F)   17.2 states/eV/cell
Formation energy   0.180 eV/atom
Magnetization   0.00 μB/cell

---

A relaxed TaCd2Ru crystal, computed with GGA-PBE.

a b c (Å): 5.3538 5.3538 4.5327
angles (deg): 75.02 75.02 35.05
Fractional positions:
Ru 0.2500 0.2500 0.2500
Cd 0.9915 0.9915 0.0085
Cd 0.5085 0.5085 0.4915
Ta 0.7500 0.7500 0.7500

Values from the calculation:
N(E_F)   2.3 states/eV/cell
Formation energy   0.249 eV/atom
Magnetization   0.00 μB/cell

---

A relaxed BaHoHgTe3 crystal, computed with GGA-PBE.

a b c (Å): 4.4667 8.9055 10.8328
angles (deg): 105.02 90.00 90.00
Fractional positions:
Te 0.2500 0.5803 0.8714
Te 0.7500 0.9088 0.1616
Ba 0.2500 0.2272 0.2825
Ho 0.2500 0.6679 0.1666
Ba 0.7500 0.7728 0.7175
Ho 0.7500 0.3321 0.8334
Hg 0.2500 0.1052 0.5660
Te 0.7500 0.4197 0.1286
Te 0.2500 0.6517 0.4475
Te 0.7500 0.3483 0.5525
Te 0.2500 0.0912 0.8384
Hg 0.7500 0.8948 0.4340

Values from the calculation:
N(E_F)   1.0 states/eV/cell
Formation energy (no corrections)   -1.162 eV/atom
Magnetization   0.00 μB/cell

---

A relaxed BeIr crystal, computed with GGA-PBE.

a b c (Å): 8.0921 8.0921 8.0921
angles (deg): 19.12 19.12 19.12
Each line ends with the local moment (μB).
Fractional positions:
Be 0.0003 0.0003 0.0003  0.03
Ir 0.2579 0.2579 0.2579  0.19
Be 0.7497 0.7497 0.7497  0.03
Ir 0.4921 0.4921 0.4921  0.19

Values from the calculation:
N(E_F)   4.6 states/eV/cell
Formation energy   0.038 eV/atom
Magnetization   0.52 μB/cell

---

A relaxed CePrNbN4 crystal, computed with GGA-PBE.

a b c (Å): 5.7296 5.7632 6.8931
angles (deg): 90.00 114.56 90.00
Fractional positions:
N 0.0000 0.5000 0.5000
N 0.5779 0.2500 0.1558
Nb 0.7341 0.2500 0.4683
Ce 0.8974 0.7500 0.7949
N 0.4221 0.7500 0.8442
Pr 0.3885 0.2500 0.7770
N 0.9364 0.2500 0.8727
N 0.0000 0.0000 0.5000
N 0.5000 0.5000 0.5000
Pr 0.6115 0.7500 0.2230
Nb 0.2659 0.7500 0.5317
N 0.5000 0.0000 0.5000
Ce 0.1026 0.2500 0.2051
N 0.0636 0.7500 0.1273

Values from the calculation:
N(E_F)   2.8 states/eV/cell
Formation energy (no corrections)   -1.154 eV/atom
Magnetization   0.00 μB/cell

---

A relaxed CaNdHoIn crystal, computed with GGA-PBE.

a b c (Å): 5.5487 5.5487 5.5487
angles (deg): 60.00 60.00 60.00
Fractional positions:
Nd 0.2500 0.2500 0.2500
In 0.0000 0.0000 0.0000
Ho 0.7500 0.7500 0.7500
Ca 0.5000 0.5000 0.5000

Values from the calculation:
N(E_F)   3.3 states/eV/cell
Formation energy   -0.157 eV/atom
Magnetization   0.00 μB/cell

---

A relaxed ZnNi3Pt crystal, computed with GGA-PBE.

a b c (Å): 6.6913 6.7977 5.5665
angles (deg): 90.00 90.00 90.00
Each line ends with the local moment (μB).
Fractional positions:
Ni 0.8132 0.8605 0.2500  0.60
Pt 0.5000 0.0000 0.5000  0.14
Zn 0.8330 0.8118 0.7500  -0.02
Pt 0.5000 0.0000 0.0000  0.14
Zn 0.1670 0.1882 0.2500  -0.02
Ni 0.1231 0.8728 0.4731  0.46
Ni 0.1868 0.1395 0.7500  0.60
Ni 0.8769 0.1272 0.5269  0.46
Ni 0.3769 0.3728 0.9731  0.46
Ni 0.8769 0.1272 0.9731  0.46
Ni 0.6868 0.3605 0.7500  0.60
Zn 0.6670 0.3118 0.2500  -0.02
Ni 0.6231 0.6272 0.4731  0.46
Ni 0.1231 0.8728 0.0269  0.46
Pt 0.0000 0.5000 0.5000  0.14
Zn 0.3330 0.6882 0.7500  -0.02
Ni 0.3769 0.3728 0.5269  0.46
Ni 0.3132 0.6395 0.2500  0.60
Ni 0.6231 0.6272 0.0269  0.46
Pt 0.0000 0.5000 0.0000  0.14

Values from the calculation:
N(E_F)   23.4 states/eV/cell
Formation energy   -0.033 eV/atom
Magnetization   6.25 μB/cell

---

A relaxed EuPd2 crystal, computed with GGA-PBE.

a b c (Å): 3.6040 3.6040 5.4062
angles (deg): 109.47 109.47 90.00
Each line ends with the local moment (μB).
Fractional positions:
Pd 0.3180 0.3180 0.6361  0.00
Eu 0.0000 0.0000 0.0000  -6.77
Pd 0.6820 0.6820 0.3639  0.00

Values from the calculation:
N(E_F)   11.8 states/eV/cell
Formation energy   -0.428 eV/atom
Magnetization   7.04 μB/cell

---

A relaxed Sr2Ag3Pb crystal, computed with GGA-PBE.

a b c (Å): 6.3757 6.3757 9.9386
angles (deg): 112.29 112.29 79.49
Fractional positions:
Pb 0.3343 0.3343 0.6687
Sr 0.2500 0.7500 0.5000
Ag 0.3270 0.3270 0.1622
Sr 0.7567 0.2433 0.0000
Ag 0.1648 0.1648 0.8378
Sr 0.2433 0.7567 0.0000
Pb 0.6657 0.6657 0.3313
Ag 0.1648 0.1648 0.3296
Ag 0.8352 0.8352 0.6704
Ag 0.8352 0.8352 0.1622
Ag 0.6730 0.6730 0.8378
Sr 0.7500 0.2500 0.5000

Values from the calculation:
N(E_F)   6.5 states/eV/cell
Formation energy   -0.301 eV/atom
Magnetization   0.00 μB/cell

---

| no. | raw total energy (eV/atom) | volume (A^3/atom) |
| --- | --- | --- |
| 1 | -3.08 | 20.2 |
| 2 | -2.76 | 30.2 |
| 3 | -5.76 | 33.4 |
| 4 | -3.89 | 19.8 |
| 5 | -5.89 | 17.3 |
| 6 | -8.59 | 24.1 |
| 7 | -3.73 | 41.5 |
| 8 | -8.72 | 19.3 |
| 9 | -6.87 | 15.2 |
| 10 | -4.33 | 20.0 |
| 11 | -6.38 | 16.1 |
| 12 | -4.62 | 35.7 |
| 13 | -5.49 | 18.0 |
| 14 | -3.87 | 34.7 |
| 15 | -6.26 | 12.4 |
| 16 | -8.88 | 14.8 |
| 17 | -3.68 | 30.2 |
| 18 | -4.96 | 12.7 |
| 19 | -7.31 | 20.6 |
| 20 | -2.91 | 28.8 |